1.
An optimized crystal structure of NaTcPd, computed with PBE.

Unit cell a=5.713 b=4.835 c=8.003 alpha=90.00 beta=90.00 gamma=90.00
Site moments in Bohr magnetons follow the coordinates.
Positions (direct):
Na: 0.500 0.250 0.880  0.00
Na: 0.000 0.750 0.380  0.00
Na: 0.500 0.750 0.120  0.00
Na: 0.000 0.250 0.620  0.00
Tc: 0.000 0.000 0.000  0.86
Tc: 0.500 0.500 0.500  0.86
Tc: 0.500 0.000 0.500  0.82
Tc: 0.000 0.500 0.000  0.82
Pd: 0.250 0.250 0.250  0.14
Pd: 0.250 0.750 0.750  0.14
Pd: 0.750 0.750 0.750  0.14
Pd: 0.750 0.250 0.250  0.14

As for the calculated volume: 18.4 A^3/atom. Its energy above the most stable polymorph in this dataset is 319.5 meV/atom.

2.
An optimized crystal structure of NaTe2Pd2, computed with PBE.

Unit cell a=7.388 b=6.996 c=7.581 alpha=62.27 beta=56.81 gamma=49.02
Positions (direct):
Na: 0.956 0.750 0.229
Na: 0.044 0.250 0.771
Te: 0.474 0.323 0.344
Te: 0.832 0.838 0.841
Te: 0.168 0.162 0.159
Te: 0.526 0.677 0.656
Pd: 0.469 0.718 0.016
Pd: 0.748 0.249 0.529
Pd: 0.531 0.282 0.984
Pd: 0.252 0.751 0.471

The uncorrected formation energy is -0.45 eV/atom. As for the calculated volume: 24.4 A^3/atom. Its energy above the most stable polymorph in this dataset is 0.0 meV/atom.

3.
An optimized crystal structure of NaTe2Pd3, computed with PBE.

Unit cell a=4.227 b=8.252 c=9.753 alpha=119.95 beta=90.00 gamma=104.84
Positions (direct):
Na: 0.869 0.739 0.854
Na: 0.131 0.261 0.146
Te: 0.524 0.048 0.830
Te: 0.476 0.952 0.170
Te: 0.801 0.602 0.339
Te: 0.199 0.398 0.661
Pd: 0.329 0.657 0.570
Pd: 0.967 0.935 0.632
Pd: 0.593 0.185 0.633
Pd: 0.407 0.815 0.367
Pd: 0.033 0.065 0.368
Pd: 0.671 0.343 0.430

The uncorrected formation energy is -0.42 eV/atom. As for the calculated volume: 23.5 A^3/atom. Its energy above the most stable polymorph in this dataset is 28.5 meV/atom.

4.
An optimized crystal structure of Na2Te3Pd5, computed with PBE.

Unit cell a=4.586 b=7.451 c=12.520 alpha=90.00 beta=100.55 gamma=90.00
Positions (direct):
Na: 0.481 0.764 0.963
Na: 0.175 0.735 0.351
Na: 0.825 0.235 0.649
Na: 0.519 0.264 0.037
Te: 0.781 0.658 0.561
Te: 0.609 0.526 0.218
Te: 0.057 0.014 0.113
Te: 0.219 0.158 0.439
Te: 0.943 0.514 0.887
Te: 0.391 0.026 0.782
Pd: 0.407 0.375 0.815
Pd: 0.271 0.470 0.543
Pd: 0.729 0.970 0.457
Pd: 0.123 0.321 0.247
Pd: 0.293 0.860 0.586
Pd: 0.944 0.142 0.889
Pd: 0.707 0.360 0.414
Pd: 0.877 0.821 0.753
Pd: 0.056 0.642 0.111
Pd: 0.593 0.875 0.185

The uncorrected formation energy is -0.41 eV/atom. As for the calculated volume: 21.0 A^3/atom.

5.
An optimized crystal structure of NaTePd, computed with PBE.

Unit cell a=4.321 b=4.509 c=4.509 alpha=120.00 beta=90.00 gamma=90.00
Positions (direct):
Na: 0.667 0.667 0.333
Te: 0.167 0.333 0.667
Pd: 0.167 0.000 0.000

The uncorrected formation energy is -0.53 eV/atom. As for the calculated volume: 25.4 A^3/atom.

6.
An optimized crystal structure of NaTePd, computed with PBE.

Unit cell a=4.155 b=7.464 c=7.464 alpha=120.00 beta=90.00 gamma=90.00
Positions (direct):
Pd: 0.500 0.667 0.333
Pd: 0.500 0.333 0.667
Pd: 0.000 0.000 0.000
Te: 0.500 0.282 0.000
Te: 0.500 0.000 0.282
Te: 0.500 0.718 0.718
Na: 0.000 0.608 0.000
Na: 0.000 0.000 0.608
Na: 0.000 0.392 0.392

The uncorrected formation energy is -0.51 eV/atom. As for the calculated volume: 22.3 A^3/atom.

7.
An optimized crystal structure of Na2Te4Pd3, computed with PBE.

Unit cell a=7.085 b=7.085 c=7.023 alpha=100.17 beta=100.17 gamma=130.54
Positions (direct):
Na: 0.634 0.634 0.269
Na: 0.366 0.366 0.731
Te: 0.009 0.707 0.717
Te: 0.707 0.009 0.717
Te: 0.991 0.293 0.283
Te: 0.293 0.991 0.283
Pd: 0.500 0.000 0.000
Pd: 0.000 0.000 0.000
Pd: 0.000 0.500 0.000

The uncorrected formation energy is -0.50 eV/atom. As for the calculated volume: 27.0 A^3/atom.

8.
An optimized crystal structure of NaTe12Pd7, computed with PBE.

Unit cell a=8.347 b=8.347 c=8.347 alpha=102.82 beta=102.82 gamma=102.82
Positions (direct):
Na: 0.000 0.000 0.000
Te: 0.980 0.284 0.769
Te: 0.716 0.231 0.020
Te: 0.444 0.155 0.395
Te: 0.845 0.605 0.556
Te: 0.231 0.020 0.716
Te: 0.605 0.556 0.845
Te: 0.395 0.444 0.155
Te: 0.769 0.980 0.284
Te: 0.155 0.395 0.444
Te: 0.556 0.845 0.605
Te: 0.284 0.769 0.980
Te: 0.020 0.716 0.231
Pd: 0.939 0.619 0.888
Pd: 0.381 0.112 0.061
Pd: 0.112 0.061 0.381
Pd: 0.500 0.500 0.500
Pd: 0.888 0.939 0.619
Pd: 0.619 0.888 0.939
Pd: 0.061 0.381 0.112

The uncorrected formation energy is -0.25 eV/atom. As for the calculated volume: 26.5 A^3/atom.

9.
An optimized crystal structure of Na3Te2Pd, computed with PBE.

Unit cell a=6.375 b=6.447 c=8.942 alpha=111.13 beta=110.88 gamma=90.00
Positions (direct):
Na: 0.429 0.673 0.346
Na: 0.571 0.327 0.654
Na: 0.083 0.827 0.654
Na: 0.917 0.173 0.346
Na: 0.500 0.750 0.000
Na: 0.500 0.250 0.000
Te: 0.337 0.120 0.240
Te: 0.663 0.880 0.760
Te: 0.098 0.380 0.760
Te: 0.902 0.620 0.240
Pd: 0.000 0.250 0.000
Pd: 0.000 0.750 0.000

The uncorrected formation energy is -0.64 eV/atom. As for the calculated volume: 26.4 A^3/atom.

10.
An optimized crystal structure of NaTe8Pd6, computed with PBE.

Unit cell a=7.284 b=7.284 c=7.284 alpha=88.88 beta=88.88 gamma=88.88
Positions (direct):
Na: 0.000 0.000 0.000
Te: 0.758 0.758 0.758
Te: 0.242 0.242 0.242
Te: 0.631 0.847 0.254
Te: 0.847 0.254 0.631
Te: 0.254 0.631 0.847
Te: 0.369 0.153 0.746
Te: 0.153 0.746 0.369
Te: 0.746 0.369 0.153
Pd: 0.584 0.443 0.815
Pd: 0.443 0.815 0.584
Pd: 0.815 0.584 0.443
Pd: 0.416 0.557 0.185
Pd: 0.557 0.185 0.416
Pd: 0.185 0.416 0.557

The uncorrected formation energy is -0.34 eV/atom. As for the calculated volume: 25.8 A^3/atom.

11.
An optimized crystal structure of NaTe3Pd2, computed with PBE.

Unit cell a=5.839 b=8.083 c=8.083 alpha=120.00 beta=90.00 gamma=90.00
Positions (direct):
Na: 0.333 0.667 0.333
Na: 0.667 0.333 0.667
Te: 0.777 0.344 0.172
Te: 0.777 0.828 0.656
Te: 0.777 0.828 0.172
Te: 0.223 0.172 0.828
Te: 0.223 0.656 0.828
Te: 0.223 0.172 0.344
Pd: 0.000 0.000 0.000
Pd: 0.000 0.500 0.500
Pd: 0.000 0.500 0.000
Pd: 0.000 0.000 0.500

The uncorrected formation energy is -0.48 eV/atom. As for the calculated volume: 27.5 A^3/atom.

12.
An optimized crystal structure of NaTePd, computed with PBE.

Unit cell a=3.839 b=3.839 c=5.935 alpha=108.87 beta=108.87 gamma=90.00
Positions (direct):
Na: 0.005 0.005 0.011
Te: 0.721 0.721 0.442
Pd: 0.274 0.274 0.547

The uncorrected formation energy is -0.43 eV/atom. As for the calculated volume: 25.9 A^3/atom.